Density functional theory data (PBE) for crystalline HgBPt3 at its relaxed geometry.

## Properties
Density: 16.619 g/cm³
Electronic total energy: -5.006 eV per atom
Size of the total moment: 0.000 μB/atom

a b c (Å): 5.7046 10.2869 5.4257
angles (deg): 90.00 90.00 90.00
Space group Cmcm (No. 63)
One atom of each set of equivalent atoms:
1 Hg 0.0000 0.0537 0.2500 (multiplicity 4)
2 B 0.0000 0.3389 0.7500 (multiplicity 4)
3 Pt 0.0000 0.5000 0.0000 (multiplicity 4)
4 Pt 0.2430 0.2981 0.2500 (multiplicity 8)


Density functional theory data (PBE) for crystalline HgBPt2 at its relaxed geometry.

## Properties
Density: 16.092 g/cm³
Electronic total energy: -4.883 eV per atom
Size of the total moment: 0.000 μB/atom

a b c (Å): 3.2850 3.2850 19.9264
angles (deg): 90.00 90.00 120.00
Space group R-3m (No. 166, hexagonal axes)
One atom of each set of equivalent atoms:
1 Hg 0.0000 0.0000 0.0000 (multiplicity 3)
2 B 0.0000 0.0000 0.5000 (multiplicity 3)
3 Pt 0.0000 0.0000 0.2217 (multiplicity 6)


Density functional theory data (PBE) for crystalline HgBPt3 at its relaxed geometry.

## Properties
Density: 16.177 g/cm³
Electronic total energy: -4.880 eV per atom
Size of the total moment: 0.000 μB/atom

a b c (Å): 7.1935 7.1935 10.9484
angles (deg): 90.00 90.00 120.00
Space group R-3c (No. 167, hexagonal axes)
One atom of each set of equivalent atoms:
1 Hg 0.0000 0.0000 0.0000 (multiplicity 6)
2 B 0.0000 0.0000 0.2500 (multiplicity 6)
3 Pt 0.0000 0.2773 0.2500 (multiplicity 18)